Record 1
Here is a relaxed structure of Pm2ScAu4 from Alexandria. Energies are from GGA-PBE.

Cell: 4.9709 4.9709 24.9041 Å, 90.00 90.00 120.00°
Space group R-3m (No. 166, hexagonal axes)
Asymmetric unit:
Pm1 0.0000 0.0000 0.2415 x6
Sc1 0.0000 0.0000 0.0000 x3
Au1 0.0000 0.0000 0.1174 x6
Au2 0.0000 0.0000 0.3609 x6

Its total magnetic moment is 0.0 μB per formula unit. The formation energy is -0.6816 eV per atom. The calculation puts the uncorrected energy at -4.8162 eV per atom.

Record 2
Here is a relaxed structure of Er3ZnNi4 from Alexandria. Energies are from GGA-PBE.

Cell: 3.922 5.319 14.655 Å, 90.00 90.00 90.00°
Space group Immm (No. 71)
Asymmetric unit:
Er1 0.000 0.000 0.000 x2
Er2 0.000 0.500 0.195 x4
Zn1 0.000 0.000 0.500 x2
Ni1 0.000 0.286 0.376 x8

Its total magnetic moment is 0.0 μB per formula unit. The formation energy is -0.3106 eV per atom. The calculation puts the uncorrected energy at -5.0716 eV per atom.

Record 3
Here is a relaxed structure of PtCl3 from Alexandria. Energies are from GGA-PBE.

Cell: 9.4253 9.4253 3.3812 Å, 90.00 90.00 120.00°
Space group P6_3/mmc (No. 194)
Asymmetric unit:
Pt1 0.3333 0.6667 0.2500 x2
Cl1 0.2231 0.4462 0.7500 x6

Its total magnetic moment is 1.0 μB per formula unit. The calculation puts the uncorrected energy at -2.8793 eV per atom. As for the formation energy from raw total energies: 16 meV per atom.

Repeat the second record exactly.
Here is a relaxed structure of Er3ZnNi4 from Alexandria. Energies are from GGA-PBE.

Cell: 3.922 5.319 14.655 Å, 90.00 90.00 90.00°
Space group Immm (No. 71)
Asymmetric unit:
Er1 0.000 0.000 0.000 x2
Er2 0.000 0.500 0.195 x4
Zn1 0.000 0.000 0.500 x2
Ni1 0.000 0.286 0.376 x8

Its total magnetic moment is 0.0 μB per formula unit. The formation energy is -0.3106 eV per atom. The calculation puts the uncorrected energy at -5.0716 eV per atom.